No. 1
! Ac2GaAu3 PBE optimized geometry; values from VASP
! Total energy: -4.323 eV per atom
! Size of the total moment: 0.0 μB/cell
! ρ: 11.7 g/cm3
&SYSTEM
  ibrav = 0, nat = 6, ntyp = 3
/
ATOMIC_SPECIES
Ac 227.00 Ac.upf
Ga 69.72 Ga.upf
Au 196.97 Au.upf
CELL_PARAMETERS angstrom
4.006 0.000 0.000
0.000 4.741 0.000
0.000 0.000 8.300
ATOMIC_POSITIONS crystal
Ac 0.000 0.000 0.000
Ac 0.000 0.500 0.485
Ga 0.500 0.500 0.818
Au 0.500 0.000 0.333
Au 0.500 0.000 0.677
Au 0.500 0.500 0.140



No. 2
! NpZn PBE optimized geometry; values from VASP
! Formation enthalpy at 0 K: 0.052 eV per atom
! Size of the total moment: 2.5 μB/cell
! ρ: 14.2 g/cm3
&SYSTEM
  ibrav = 0, nat = 10, ntyp = 2
/
ATOMIC_SPECIES
Np 237.00 Np.upf
Zn 65.41 Zn.upf
CELL_PARAMETERS angstrom
5.740 0.000 0.000
0.000 4.373 0.000
-2.861 0.000 7.035
ATOMIC_POSITIONS crystal
Np 0.000 0.000 0.000
Np 0.012 0.500 0.386
Np 0.194 0.000 0.353
Np 0.626 0.500 0.613
Np 0.842 0.000 0.647
Zn 0.189 0.500 0.813
Zn 0.376 0.500 0.187
Zn 0.416 0.000 0.792
Zn 0.624 0.000 0.208
Zn 0.655 0.500 0.000



Among the records above, which one has the lowest size of the total moment?
Ac2GaAu3



What is the ρ in the second record?
14.2 g/cm3